# GaAg2F6 (PBE, optimized geometry)
# Space group: No. 14
# E_form (uncorrected), eV per formula unit: -15.938
# Calculated total energy, eV/cell: -71.8
data_GaAg2F6
_cell_length_a 5.6697
_cell_length_b 5.7242
_cell_length_c 8.5857
_cell_angle_alpha 90.00
_cell_angle_beta 91.51
_cell_angle_gamma 90.00
_symmetry_space_group_name_H-M 'P 1'
_symmetry_Int_Tables_number 1
loop_
_symmetry_equiv_pos_as_xyz
'x,y,z'
loop_
_atom_site_label
_atom_site_type_symbol
_atom_site_fract_x
_atom_site_fract_y
_atom_site_fract_z
Ag1 Ag 0.5233 0.9230 0.7079
Ag2 Ag 0.0233 0.5770 0.2079
Ga1 Ga 0.0000 0.0000 0.5000
F1 F 0.3337 0.6160 0.8114
F2 F 0.6357 0.2515 0.8823
F3 F 0.1357 0.2485 0.3823
Ag3 Ag 0.4767 0.0770 0.2921
F4 F 0.7302 0.1818 0.5497
F5 F 0.2302 0.3182 0.0497
F6 F 0.8643 0.7515 0.6177
F7 F 0.7698 0.6818 0.9503
F8 F 0.2698 0.8182 0.4503
F9 F 0.3643 0.7485 0.1177
F10 F 0.8337 0.8840 0.3114
F11 F 0.6663 0.3840 0.1886
Ag4 Ag 0.9767 0.4230 0.7921
F12 F 0.1663 0.1160 0.6886
Ga2 Ga 0.5000 0.5000 0.0000

# SbAs7 (PBE, optimized geometry)
# Space group: No. 225
# E_form (uncorrected), eV per formula unit: 4.247
# Calculated total energy, eV/cell: -32.4
data_SbAs7
_cell_length_a 6.1288
_cell_length_b 6.1288
_cell_length_c 6.1288
_cell_angle_alpha 60.00
_cell_angle_beta 60.00
_cell_angle_gamma 60.00
_symmetry_space_group_name_H-M 'P 1'
_symmetry_Int_Tables_number 1
loop_
_symmetry_equiv_pos_as_xyz
'x,y,z'
loop_
_atom_site_label
_atom_site_type_symbol
_atom_site_fract_x
_atom_site_fract_y
_atom_site_fract_z
As1 As 0.0000 0.5000 0.0000
As2 As 0.0000 0.5000 0.5000
As3 As 0.5000 0.0000 0.0000
As4 As 0.0000 0.0000 0.5000
Sb1 Sb 0.0000 0.0000 0.0000
As5 As 0.5000 0.5000 0.0000
As6 As 0.5000 0.0000 0.5000
As7 As 0.5000 0.5000 0.5000

# La2InCu3 (PBE, optimized geometry)
# Space group: No. 69
# Calculated total energy, eV/cell: -52.5
# Formation energy, kJ/mol of atoms: -22
data_La2InCu3
_cell_length_a 5.9579
_cell_length_b 5.9579
_cell_length_c 8.8140
_cell_angle_alpha 106.39
_cell_angle_beta 106.39
_cell_angle_gamma 99.50
_symmetry_space_group_name_H-M 'P 1'
_symmetry_Int_Tables_number 1
loop_
_symmetry_equiv_pos_as_xyz
'x,y,z'
loop_
_atom_site_label
_atom_site_type_symbol
_atom_site_fract_x
_atom_site_fract_y
_atom_site_fract_z
Cu1 Cu 0.1632 0.1632 0.3264
Cu2 Cu 0.1637 0.6761 0.8398
Cu3 Cu 0.3239 0.8363 0.1602
In1 In 0.6643 0.6643 0.3286
La1 La 0.7660 0.7660 0.0000
Cu4 Cu 0.8363 0.3239 0.1602
In2 In 0.3357 0.3357 0.6714
La2 La 0.2340 0.2340 0.0000
Cu5 Cu 0.8368 0.8368 0.6736
La3 La 0.7500 0.2500 0.5000
La4 La 0.2500 0.7500 0.5000
Cu6 Cu 0.6761 0.1637 0.8398

# RbSb2RhI (PBE, optimized geometry)
# Space group: No. 123
# E_form (uncorrected), eV per formula unit: -1.015
# Calculated total energy, eV/cell: -19.1
data_RbSb2RhI
_cell_length_a 5.0050
_cell_length_b 5.0050
_cell_length_c 8.9088
_cell_angle_alpha 90.00
_cell_angle_beta 90.00
_cell_angle_gamma 90.00
_symmetry_space_group_name_H-M 'P 1'
_symmetry_Int_Tables_number 1
loop_
_symmetry_equiv_pos_as_xyz
'x,y,z'
loop_
_atom_site_label
_atom_site_type_symbol
_atom_site_fract_x
_atom_site_fract_y
_atom_site_fract_z
Rb1 Rb 0.5000 0.5000 0.5000
Sb1 Sb 0.5000 0.0000 0.0000
Rh1 Rh 0.0000 0.0000 0.0000
I1 I 0.0000 0.0000 0.5000
Sb2 Sb 0.0000 0.5000 0.0000

# Ba2GaOsN (PBE, optimized geometry)
# Space group: No. 123
# E_form (uncorrected), eV per formula unit: -1.108
# Calculated total energy, eV/cell: -27.5
data_Ba2GaOsN
_cell_length_a 5.8634
_cell_length_b 5.8634
_cell_length_c 3.8149
_cell_angle_alpha 90.00
_cell_angle_beta 90.00
_cell_angle_gamma 90.00
_symmetry_space_group_name_H-M 'P 1'
_symmetry_Int_Tables_number 1
loop_
_symmetry_equiv_pos_as_xyz
'x,y,z'
loop_
_atom_site_label
_atom_site_type_symbol
_atom_site_fract_x
_atom_site_fract_y
_atom_site_fract_z
N1 N 0.0000 0.0000 0.0000
Ba1 Ba 0.5000 0.0000 0.0000
Os1 Os 0.0000 0.0000 0.5000
Ba2 Ba 0.0000 0.5000 0.0000
Ga1 Ga 0.5000 0.5000 0.5000

# NdGa4Sn (PBE, optimized geometry)
# Space group: No. 216
# Calculated total energy, eV/cell: -22.5
# Formation energy, kJ/mol of atoms: -26
data_NdGa4Sn
_cell_length_a 5.6557
_cell_length_b 5.6557
_cell_length_c 5.6557
_cell_angle_alpha 60.00
_cell_angle_beta 60.00
_cell_angle_gamma 60.00
_symmetry_space_group_name_H-M 'P 1'
_symmetry_Int_Tables_number 1
loop_
_symmetry_equiv_pos_as_xyz
'x,y,z'
loop_
_atom_site_label
_atom_site_type_symbol
_atom_site_fract_x
_atom_site_fract_y
_atom_site_fract_z
Nd1 Nd 0.2500 0.2500 0.2500
Ga1 Ga 0.1237 0.6254 0.6254
Ga2 Ga 0.6254 0.6254 0.1237
Ga3 Ga 0.6254 0.1237 0.6254
Sn1 Sn 0.0000 0.0000 0.0000
Ga4 Ga 0.6254 0.6254 0.6254